{
  "formula": "KIn2Te2",
  "functional": "SCAN",
  "state": "PBEsol geometry",
  "raw_formation_energy_kj_per_mol_fu": -262,
  "total_magnetization_mub_per_atom": 0.00,
  "cell": [[5.700, 0.000, 0.000], [-2.850, 5.721, -0.003], [0.000, 2.842, 4.941]],
  "species": ["K", "Te", "Te", "In", "In"],
  "fractional_positions": [[0.000, 0.000, 0.000], [0.750, 0.500, 0.750], [0.250, 0.500, 0.250], [0.645, 0.290, 0.355], [0.355, 0.710, 0.645]]
}